# 1
Material: TiCrBi2
Method: DFT, meta-GGA SCAN
State: PBEsol geometry

Values from the calculation:
As for the symmetry: No. 122. As for the formation energy from the elements: 1.2 eV/f.u. The final energy comes out at -3.4975 Ry per atom.

```
TiCrBi2
1.0
-3.477 5.211 0.341
1.112 -2.501 -5.645
-3.275 -4.358 3.105
Cr Bi Ti
2 4 2
Cartesian
0.000 0.000 0.000
-1.673 -2.752 -2.596
-3.765 0.199 -3.058
-2.466 -1.170 -0.466
0.242 -0.971 -3.507
-5.290 -1.354 2.634
-1.182 1.355 -2.652
-3.967 1.104 0.397
```

# 2
Material: TlCrBi3
Method: DFT, meta-GGA SCAN
State: PBEsol geometry

Values from the calculation:
As for the symmetry: No. 221. As for the formation energy from the elements: 1.9 eV/f.u. The final energy comes out at -4.7716 Ry per atom.

```
TlCrBi3
1.0
5.243 0.000 0.000
0.000 5.243 0.000
0.000 0.000 5.243
Cr Tl Bi
1 1 3
Cartesian
0.000 0.000 0.000
2.621 2.621 2.621
0.000 2.621 0.000
0.000 0.000 2.621
2.621 0.000 0.000
```

# 3
Material: CrBi2W
Method: DFT, meta-GGA SCAN
State: PBEsol geometry

Values from the calculation:
As for the symmetry: No. 225. As for the formation energy from the elements: 3.3 eV/f.u. The final energy comes out at -4.4461 Ry per atom.

```
CrBi2W
1.0
4.834 0.000 0.000
2.417 4.187 0.000
2.417 1.396 3.947
Cr Bi W
1 2 1
Cartesian
0.000 0.000 0.000
2.417 1.396 0.987
7.251 4.187 2.960
4.834 2.791 1.974
```

# 4
Material: YCrBi2
Method: DFT, meta-GGA SCAN
State: PBEsol geometry

Values from the calculation:
As for the symmetry: No. 225. As for the formation energy from the elements: -0.8 eV/f.u. The final energy comes out at -3.7513 Ry per atom.

```
YCrBi2
1.0
-3.003 3.661 -2.216
-0.903 -0.124 -5.148
-4.751 -1.248 -1.791
Y Cr Bi
1 1 2
Cartesian
-4.329 1.145 -4.577
0.000 0.000 0.000
-2.164 0.572 -2.289
-6.493 1.717 -6.866
```

# 5
Material: ZrCr3Bi
Method: DFT, meta-GGA SCAN
State: PBEsol geometry

Values from the calculation:
As for the symmetry: No. 221. As for the formation energy from the elements: 6.6 eV/f.u. The final energy comes out at -2.3196 Ry per atom.

```
ZrCr3Bi
1.0
-4.770 1.279 -0.159
-1.076 -4.288 -2.206
-0.709 -2.095 4.418
Cr Bi Zr
3 1 1
Cartesian
-0.538 -2.144 -1.103
-0.354 -1.048 2.209
-2.385 0.639 -0.080
0.000 0.000 0.000
-3.278 -2.552 1.027
```

# 6
Material: CsBi
Method: DFT, meta-GGA SCAN
State: PBEsol geometry

Values from the calculation:
As for the symmetry: No. 14. As for the formation energy from the elements: -0.9 eV/f.u. The final energy comes out at -4.3121 Ry per atom.

```
CsBi
1.0
-5.598 1.406 -5.043
-9.731 -1.208 10.464
5.194 14.227 -1.798
Cs Bi
16 16
Cartesian
-1.043 12.555 0.332
-5.585 2.816 -3.166
-9.092 1.871 3.290
-4.549 11.610 6.788
-2.528 8.329 2.817
-2.164 6.556 -3.906
-7.606 6.097 0.805
-7.971 7.870 7.529
-3.650 5.089 0.543
-3.556 10.426 -3.897
-6.485 9.336 3.080
-6.578 3.999 7.519
-4.366 1.777 3.783
0.398 12.925 -4.220
-5.768 12.649 -0.161
-10.533 1.500 7.843
-2.973 14.081 -2.685
-3.425 1.232 0.059
-7.162 0.345 6.308
-6.709 13.193 3.563
2.634 12.772 -0.678
-6.369 1.872 0.451
-12.768 1.654 4.301
-3.766 12.553 3.172
-1.584 8.848 -0.858
-5.772 6.705 -2.632
-8.550 5.577 4.481
-4.362 7.720 6.254
-0.117 6.223 -0.491
-4.618 8.672 -0.636
-10.018 8.203 4.113
-5.517 5.754 4.259
```

# 7
Material: Cs3Bi
Method: DFT, meta-GGA SCAN
State: PBEsol geometry

Values from the calculation:
As for the symmetry: No. 225. As for the formation energy from the elements: -1.7 eV/f.u. The final energy comes out at -3.5597 Ry per atom.

```
Cs3Bi
1.0
6.494 0.000 0.000
3.247 5.624 0.000
3.247 1.875 5.303
Cs Bi
3 1
Cartesian
3.247 1.875 1.326
9.741 5.624 3.977
6.494 3.749 2.651
0.000 0.000 0.000
```

# 8
Material: Cs3CuBi
Method: DFT, meta-GGA SCAN
State: PBEsol geometry

Values from the calculation:
As for the symmetry: No. 221. As for the formation energy from the elements: 0.8 eV/f.u. The final energy comes out at -3.0345 Ry per atom.

```
Cs3CuBi
1.0
6.359 0.000 0.000
0.000 6.359 0.000
0.000 0.000 6.359
Cs Bi Cu
3 1 1
Cartesian
0.000 3.180 0.000
0.000 0.000 3.180
3.180 0.000 0.000
3.180 3.180 3.180
0.000 0.000 0.000
```

# 9
Material: CsCuBi2P
Method: DFT, meta-GGA SCAN
State: PBEsol geometry

Values from the calculation:
As for the symmetry: No. 123. As for the formation energy from the elements: 3.9 eV/f.u. The final energy comes out at -3.1853 Ry per atom.

```
CsCuBi2P
1.0
5.308 0.000 0.000
0.000 5.308 0.000
0.000 0.000 6.514
Cs P Bi Cu
1 1 2 1
Cartesian
0.000 0.000 3.257
0.000 0.000 0.000
0.000 2.654 0.000
2.654 0.000 0.000
2.654 2.654 3.257
```

# 10
Material: CsCuBi2Pd
Method: DFT, meta-GGA SCAN
State: PBEsol geometry

Values from the calculation:
As for the symmetry: No. 123. As for the formation energy from the elements: 2.8 eV/f.u. The final energy comes out at -3.5307 Ry per atom.

```
CsCuBi2Pd
1.0
5.273 0.000 0.000
0.000 5.273 0.000
0.000 0.000 6.057
Cs Cu Bi Pd
1 1 2 1
Cartesian
0.000 0.000 3.028
2.637 2.637 3.028
0.000 2.637 0.000
2.637 0.000 0.000
0.000 0.000 0.000
```

# 11
Material: Cs3BiF
Method: DFT, meta-GGA SCAN
State: PBEsol geometry

Values from the calculation:
As for the symmetry: No. 221. For the formation energy (no corrections), the calculation gives -1.3655 eV per atom. The final energy comes out at -2.9749 Ry per atom.

```
Cs3BiF
1.0
-3.071 4.954 -0.523
-4.765 -2.742 2.005
1.452 1.478 5.472
Cs Bi F
3 1 1
Cartesian
-2.382 -1.371 1.003
0.726 0.739 2.736
-1.535 2.477 -0.262
-3.191 1.845 3.477
0.000 0.000 0.000
```

# 12
Material: Cs3BiF6
Method: DFT, meta-GGA SCAN
State: PBEsol geometry

Values from the calculation:
As for the symmetry: No. 225. For the formation energy (no corrections), the calculation gives -2.7038 eV per atom. The final energy comes out at -1.7661 Ry per atom.

```
Cs3BiF6
1.0
-4.547 -2.586 -4.785
-3.615 -5.937 1.392
-6.977 0.301 1.216
Cs Bi F
3 1 6
Cartesian
-11.354 -6.167 -1.632
-3.785 -2.056 -0.544
-7.569 -4.111 -1.088
0.000 0.000 0.000
-5.904 -3.271 -3.125
-9.748 -3.105 -2.455
-5.391 -5.117 0.278
-9.234 -4.951 0.948
-7.895 -6.542 -2.357
-7.243 -1.681 0.181
```

The records above yield M_tot values of 6.2; 2.6; 2.9; 4.2; 10.5; 0.0; 0.0; 1.0; 0.0; 0.0; 1.0; 0.0 μB per cell, respectively.